## i
{
  "formula": "Sc2TcBr",
  "functional": "GGA-PBE",
  "state": "relaxed",
  "lattice_angstrom": [[-0.306, 0.318, -3.377], [-0.260, -4.286, -0.380], [-5.653, 0.295, 0.541]],
  "species": ["Sc", "Br", "Tc", "Sc"],
  "fractional_positions": [[0.500, 0.500, 0.333], [0.500, 0.500, 0.830], [0.000, 0.000, 0.378], [0.000, 0.000, 0.958]],
  "magmom_total_mub_per_cell": 0.000,
  "vol_a3_per_cell": 83.48
}

***

## ii
{
  "formula": "Sc2TcBr",
  "functional": "GGA-PBE",
  "state": "relaxed",
  "lattice_angstrom": [[4.549, 0.000, 0.000], [0.000, 3.354, 0.011], [0.000, 1.595, 5.032]],
  "species": ["Sc", "Br", "Tc", "Sc"],
  "fractional_positions": [[0.500, 0.259, 0.344], [0.500, 0.545, 0.798], [0.000, 0.705, 0.430], [0.000, 0.991, 0.928]],
  "magmom_total_mub_per_cell": 0.000,
  "vol_a3_per_cell": 76.69
}

***

Computed energies relative to the best structure, in eV/atom: i 0.108; ii 0.000